# 1
Computed, not measured: crystalline TaCd3Ga at its relaxed geometry at the PBE level of DFT.

Results
Theoretical density = 5.95 g/cm3

Cell lengths 5.4752, 5.4752, 5.4752 Å; angles 90.00, 90.00, 90.00 degrees
With the nearest neighbours (Å) after each atom.
Sites, in units of the cell vectors:
Ta: 0.0000 0.0000 0.0000  6 Cd 2.74
Cd: 0.0000 0.0000 0.5000  2 Ta 2.74
Cd: 0.0000 0.5000 0.0000  2 Ta 2.74
Cd: 0.5000 0.0000 0.0000  2 Ta 2.74
Ga: 0.5000 0.5000 0.5000  12 Cd 3.87



# 2
Computed, not measured: crystalline LaRe4P at its relaxed geometry at the PBE level of DFT.

Results
Theoretical density = 13.74 g/cm3

Cell lengths 5.3874, 5.3874, 5.3874 Å; angles 60.00, 60.00, 60.00 degrees
With the nearest neighbours (Å) after each atom.
Sites, in units of the cell vectors:
La: 0.0000 0.0000 0.0000  12 Re 3.16, 4 P 3.30
Re: 0.3764 0.3764 0.3764  6 Re 2.66-2.72
Re: 0.3764 0.3764 0.8709  6 Re 2.66-2.72
Re: 0.3764 0.8709 0.3764  6 Re 2.66-2.72
Re: 0.8709 0.3764 0.3764  6 Re 2.66-2.72
P: 0.7500 0.7500 0.7500  12 Re 3.16, 4 La 3.30



M_tot list, top to bottom, in μB per formula unit: 2.2; 0.0
ΔE_f list, top to bottom, in meV/atom: 1109; 560